Entry 1:
The following is a DFT calculation (SCAN) of SrTa2Pt at its PBEsol-relaxed geometry.

Cell: 2.9764 5.3510 5.9568 Å, 116.69 104.47 90.00°
Fractional coordinates of all 4 atoms:
1 Ta 0.0325 0.0325 0.0651
2 Ta 0.7572 0.2572 0.5144
3 Pt 0.4713 0.4713 0.9426
4 Sr 0.2390 0.7390 0.4780

Properties
DOS at the Fermi energy, states/eV per cell: 3.0
Formation energy from the elements, eV/atom: 0.436
ΔE to the lowest computed polymorph, eV per atom: 0.100
Space-group type: Imm2



Entry 2:
The following is a DFT calculation (SCAN) of ErSi2 at its PBEsol-relaxed geometry.

Cell: 3.7791 4.0700 4.0700 Å, 120.00 90.00 90.00°
Fractional coordinates of all 3 atoms:
1 Si 0.5000 0.6667 0.3333
2 Si 0.5000 0.3333 0.6667
3 Er 0.0000 0.0000 0.0000

Properties
DOS at the Fermi energy, states/eV per cell: 1.7
DFT total energy, eV per cell: -71.76
Space-group type: P6/mmm



Entry 3:
The following is a DFT calculation (SCAN) of RbMg2Ag at its PBEsol-relaxed geometry.

Cell: 5.3382 5.3382 5.3382 Å, 60.00 60.00 60.00°
Fractional coordinates of all 4 atoms:
1 Mg 0.2500 0.2500 0.2500
2 Mg 0.7500 0.7500 0.7500
3 Ag 0.5000 0.5000 0.5000
4 Rb 0.0000 0.0000 0.0000

Properties
DOS at the Fermi energy, states/eV per cell: 1.8
Formation energy from the elements, eV/atom: 0.346
Space-group type: Fm-3m



Entry 4:
The following is a DFT calculation (SCAN) of Mn2CuO4 at its PBEsol-relaxed geometry.

Cell: 5.6514 6.0021 5.7153 Å, 118.43 90.00 118.09°
Each line ends with the local moment (μB).
Fractional coordinates of all 14 atoms:
1 Mn 0.5000 0.0000 0.5000  3.11
2 Mn 0.8518 0.7036 0.6018  4.27
3 Mn 0.1482 0.2964 0.3982  4.27
4 Mn 0.5000 0.0000 0.0000  3.11
5 O 0.7159 0.4317 0.7335  -0.09
6 O 0.2607 0.9793 0.7396  0.04
7 O 0.7159 0.4317 0.1982  -0.09
8 O 0.2841 0.5683 0.2665  -0.09
9 O 0.2814 0.0207 0.2604  0.04
10 O 0.7393 0.0207 0.2604  0.04
11 O 0.7186 0.9793 0.7396  0.04
12 O 0.2841 0.5683 0.8018  -0.09
13 Cu 0.0000 0.5000 0.0000  -0.59
14 Cu 0.5000 0.5000 0.0000  -0.59

Properties
ΔE to the lowest computed polymorph, eV per atom: 0.043
Space-group type: Imma



Entry 5:
The following is a DFT calculation (SCAN) of Cd2HgPb at its PBEsol-relaxed geometry.

Cell: 3.3030 3.3030 8.6727 Å, 90.00 90.00 90.00°
Fractional coordinates of all 4 atoms:
1 Cd 0.0000 0.0000 0.2723
2 Cd 0.0000 0.0000 0.7277
3 Hg 0.5000 0.5000 0.5000
4 Pb 0.5000 0.5000 0.0000

Properties
DOS at the Fermi energy, states/eV per cell: 1.5
Formation energy from the elements, eV/atom: 0.048
ΔE to the lowest computed polymorph, eV per atom: 0.002
Space-group type: P4/mmm



Entry 6:
The following is a DFT calculation (SCAN) of Al2CuP at its PBEsol-relaxed geometry.

Cell: 3.5716 4.2311 4.6627 Å, 116.98 112.52 90.00°
Fractional coordinates of all 4 atoms:
1 P 0.0000 0.5000 0.0000
2 Cu 0.5000 0.0000 0.0000
3 Al 0.2543 0.2543 0.5085
4 Al 0.7457 0.7457 0.4915

Properties
DOS at the Fermi energy, states/eV per cell: 1.4
Formation energy from the elements, eV/atom: 0.065
Space-group type: Immm



Entry 7:
The following is a DFT calculation (SCAN) of CoW2Au at its PBEsol-relaxed geometry.

Cell: 4.3776 4.3776 4.3776 Å, 60.00 60.00 60.00°
Each line ends with the local moment (μB).
Fractional coordinates of all 4 atoms:
1 W 0.2500 0.2500 0.2500  0.20
2 W 0.7500 0.7500 0.7500  0.20
3 Co 0.0000 0.0000 0.0000  1.91
4 Au 0.5000 0.5000 0.5000  0.05

Properties
DOS at the Fermi energy, states/eV per cell: 3.8
Formation energy from the elements, eV/atom: 0.641
ΔE to the lowest computed polymorph, eV per atom: 0.327
Space-group type: Fm-3m



Entry 8:
The following is a DFT calculation (SCAN) of BePb2W at its PBEsol-relaxed geometry.

Cell: 3.7783 3.8424 5.5910 Å, 110.10 90.00 90.00°
Fractional coordinates of all 4 atoms:
1 Pb 0.0000 0.9803 0.9605
2 Pb 0.5000 0.2810 0.5620
3 W 0.0000 0.6896 0.3793
4 Be 0.5000 0.5459 0.0919

Properties
DOS at the Fermi energy, states/eV per cell: 1.4
Formation energy from the elements, eV/atom: 0.686
Space-group type: Amm2